No. 1
DFT (PBE-GGA) results for a geometry-optimized Na2FeAu structure.

The structure in CIF format:
```
data_Na2FeAu
_cell_length_a 8.1519
_cell_length_b 8.1519
_cell_length_c 5.3638
_cell_angle_alpha 90.00
_cell_angle_beta 90.00
_cell_angle_gamma 90.00
_space_group_name_H-M_alt 'I -4 2 d'
_space_group_IT_number 122
_space_group_name_Hall 'I -4 2bw'
loop_
_atom_site_label
_atom_site_type_symbol
_atom_site_fract_x
_atom_site_fract_y
_atom_site_fract_z
_atom_site_occupancy
Na1 Na 0.2361 0.2500 0.1250 1
Fe1 Fe 0.0000 0.0000 0.5000 1
Au1 Au 0.0000 0.0000 0.0000 1
```

Computed properties:
Spin magnetization: 12.21 μB per cell
Mass density: 5.57 g/cm³
N(E_F): 0.77 states/eV per atom
Energy relative to the elements: 0.493 eV per atom

***

No. 2
DFT (PBE-GGA) results for a geometry-optimized CeSm2ThBi4 structure.

The structure in CIF format:
```
data_CeSm2ThBi4
_cell_length_a 7.9299
_cell_length_b 4.5816
_cell_length_c 7.9307
_cell_angle_alpha 90.00
_cell_angle_beta 109.44
_cell_angle_gamma 90.00
_space_group_name_H-M_alt 'P 1 2/m 1'
_space_group_IT_number 10
loop_
_space_group_symop_operation_xyz
'x,y,z'
'-x,-y,-z'
'-x,y,-z'
'x,-y,z'
loop_
_atom_site_label
_atom_site_type_symbol
_atom_site_fract_x
_atom_site_fract_y
_atom_site_fract_z
_atom_site_occupancy
Ce1 Ce 0.0000 0.0000 0.0000 1
Sm1 Sm 0.5000 0.0000 0.5000 1
Sm2 Sm 0.5000 0.5000 0.0000 1
Th1 Th 0.0000 0.5000 0.5000 1
Bi1 Bi 0.2521 0.5000 0.2507 1
Bi2 Bi 0.2525 0.0000 0.7511 1
```

Computed properties:
Spin magnetization: 0.99 μB per cell
Mass density: 9.22 g/cm³
N(E_F): 1.15 states/eV per atom
Energy relative to the elements: -0.818 eV per atom